The following is a DFT calculation (GGA-PBE) of crystalline ScVFeGe2 at its relaxed geometry.

```
data_ScVFeGe2
_chemical_formula_sum 'Sc1 V1 Fe1 Ge2'
_cell_length_a 4.687
_cell_length_b 4.246
_cell_length_c 4.687
_cell_angle_alpha 90.00
_cell_angle_beta 90.00
_cell_angle_gamma 90.00
_space_group_name_H-M_alt 'P 1'
_space_group_IT_number 1
loop_
_space_group_symop_operation_xyz
'x,y,z'
loop_
_atom_site_label
_atom_site_type_symbol
_atom_site_fract_x
_atom_site_fract_y
_atom_site_fract_z
Ge1 Ge 0.500 0.000 0.000
Ge2 Ge 0.000 0.000 0.500
V1 V 0.000 0.000 0.000
Fe1 Fe 0.000 0.500 0.000
Sc1 Sc 0.500 0.500 0.500
```

Results
- SG: No. 123
- Energy of formation from the pure elements: 0.31 eV/atom
- Total energy: -6.3228 eV/atom